First-principles (PBE) data for a geometry-optimized TbThGe structure, as listed in the Alexandria database.

Summary:
E above lowest polymorph = 154 meV per atom
Energy relative to the elements = -210 meV/atom
Total magnetization = 0.00 Bohr magnetons per cell
Energy = -17.3 eV per cell

a b c (Å): 4.845 4.845 4.093
angles (deg): 90.00 90.00 120.00
Fractional positions:
Tb  0.000  0.000  0.000
Th  0.333  0.667  0.513
Ge  0.667  0.333  0.162

First-principles (PBE) data for a geometry-optimized TbTh2Ge2 structure, as listed in the Alexandria database.

Summary:
Energy relative to the elements = -723 meV/atom
Total magnetization = 0.00 Bohr magnetons per cell
Energy = -64.6 eV per cell

a b c (Å): 7.844 7.844 4.261
angles (deg): 90.00 90.00 90.00
Fractional positions:
Tb  0.000  0.000  0.000
Tb  0.500  0.500  0.000
Th  0.173  0.327  0.500
Th  0.327  0.827  0.500
Th  0.673  0.173  0.500
Th  0.827  0.673  0.500
Ge  0.129  0.629  0.000
Ge  0.371  0.129  0.000
Ge  0.629  0.871  0.000
Ge  0.871  0.371  0.000

First-principles (PBE) data for a geometry-optimized TbTh5Ge6 structure, as listed in the Alexandria database.

Summary:
Energy relative to the elements = -761 meV/atom
Total magnetization = 0.00 Bohr magnetons per cell
Energy = -78.6 eV per cell

a b c (Å): 7.414 7.414 7.413
angles (deg): 99.60 99.60 119.96
Fractional positions:
Tb  0.000  0.000  0.000
Th  0.167  0.833  0.500
Th  0.334  0.666  0.000
Th  0.500  0.500  0.500
Th  0.666  0.334  0.000
Th  0.833  0.167  0.500
Ge  0.083  0.413  0.248
Ge  0.248  0.248  0.751
Ge  0.413  0.083  0.248
Ge  0.587  0.917  0.752
Ge  0.752  0.752  0.249
Ge  0.917  0.587  0.752